Entry 1:
Entry from Alexandria: PrNdHo3 after structural relaxation (PBE).

spin magnetization	0.000	μB/f.u.
energy above the lowest structure with this stoichiometry	0.00	eV/f.u.
ΔH_f (0 K)	0.18	eV per atom
D(E_F)	13.56	states/eV per cell
volume	33.149	A^3/atom

abc: 6.5300 6.5453 9.5931
angles: 90.48 108.48 119.55
Space group P-1 (No. 2)
Unique sites:
Pr 0.0000 0.0000 0.0000 [1 per cell]
Pr 0.0000 0.5000 0.5000 [1 per cell]
Nd 0.2911 0.4425 0.3078 [2 per cell]
Ho 0.1337 0.1388 0.6870 [2 per cell]
Ho 0.3112 0.6535 0.9540 [2 per cell]
Ho 0.4465 0.0148 0.3124 [2 per cell]

***

Entry 2:
Entry from Alexandria: Ti4InSe8 after structural relaxation (PBE).

formation energy (no corrections)	-1.03	eV per atom
spin magnetization	2.621	μB/f.u.
energy above the lowest structure with this stoichiometry	0.35	eV/f.u.
D(E_F)	26.39	states/eV per cell
volume	23.567	A^3/atom

abc: 10.7013 10.7013 10.7013
angles: 90.00 90.00 90.00
Space group F-43m (No. 216)
Unique sites:
Ti 0.1090 0.1090 0.1090 [16 per cell]
In 0.0000 0.0000 0.5000 [4 per cell]
Se 0.1258 0.1258 0.8742 [16 per cell]
Se 0.1403 0.1403 0.3597 [16 per cell]